Compound: K2BaBr
Source: the Alexandria database
Functional: PBE
Structure: relaxed

Unit cell a=11.8899 b=11.8899 c=6.6181 alpha=90.00 beta=90.00 gamma=90.00
Space group I-42d (No. 122)
Inequivalent atoms, fractional coordinates:
K: 0.1461 0.7500 0.1250 (multiplicity 8)
Ba: 0.0000 0.0000 0.5000 (multiplicity 4)
Br: 0.0000 0.0000 0.0000 (multiplicity 4)

Values from the calculation:
- N(E_F) (states/eV/atom) = 0.921
- E above lowest polymorph (eV/atom) = 0.127
- E_form (uncorrected) (meV per atom) = -638.6
- volume (Å³/cell) = 935.6